A geometry-optimized Mn2FeF structure. Source: Alexandria, functional PBE with a Hubbard U.

Cell lengths 3.8983, 3.8983, 3.8983 Å; angles 60.00, 60.00, 60.00 degrees
With the nearest neighbours (Å) after each atom.
Fractional coordinates of all 4 atoms:
1 Mn 0.7500 0.7500 0.7500  4 Fe 2.39, 4 F 2.39
2 Mn 0.2500 0.2500 0.2500  4 Fe 2.39, 4 F 2.39
3 F 0.0000 0.0000 0.0000  8 Mn 2.39
4 Fe 0.5000 0.5000 0.5000  8 Mn 2.39

Results
- space-group type = Fm-3m, No. 225
- E (eV per atom) = -2.80
- ΔE to the lowest computed polymorph (meV/atom) = 2800